Record 1
The following is a SCAN calculation of a crystal of Ta2CdSi relaxed with PBEsol, from the Alexandria database.

Calculated values
Formation energy (no corrections)   0.50 eV per atom
DOS at the Fermi energy   2.2 states/eV/cell
Crystal system   cubic

a = 4.583 Å, b = 4.583 Å, c = 4.583 Å
α = 60.00°, β = 60.00°, γ = 60.00°
Atoms (fractional coordinates):
Ta  0.000  0.000  0.000
Ta  0.250  0.250  0.250
Cd  0.500  0.500  0.500
Si  0.750  0.750  0.750

Record 2
The following is a SCAN calculation of a crystal of KAg2Os relaxed with PBEsol, from the Alexandria database.

Calculated values
E_form   4.8 eV per formula unit
DOS at the Fermi energy   1.8 states/eV/cell
Crystal system   cubic
Excess energy over the best structure of this formula in the dataset   35.5 kJ/mol of atoms

a = 4.779 Å, b = 4.779 Å, c = 4.779 Å
α = 60.00°, β = 60.00°, γ = 60.00°
Atoms (fractional coordinates):
K  0.000  0.000  0.000
Ag  0.250  0.250  0.250
Ag  0.750  0.750  0.750
Os  0.500  0.500  0.500

Record 3
The following is a SCAN calculation of a crystal of NbBiB2Ir relaxed with PBEsol, from the Alexandria database.

Calculated values
E_form   3.0 eV per formula unit
DOS at the Fermi energy   1.9 states/eV/cell
Crystal system   tetragonal

a = 4.074 Å, b = 4.074 Å, c = 5.296 Å
α = 90.00°, β = 90.00°, γ = 90.00°
Atoms (fractional coordinates):
Nb  0.000  0.000  0.000
Bi  0.500  0.500  0.000
B  0.000  0.500  0.500
B  0.500  0.000  0.500
Ir  0.000  0.000  0.500

Record 4
The following is a SCAN calculation of a crystal of Ba3CdMo relaxed with PBEsol, from the Alexandria database.

Calculated values
E_form   4.1 eV per formula unit
DOS at the Fermi energy   4.9 states/eV/cell
Crystal system   cubic

a = 6.383 Å, b = 6.383 Å, c = 6.383 Å
α = 90.00°, β = 90.00°, γ = 90.00°
Atoms (fractional coordinates):
Ba  0.000  0.000  0.500
Ba  0.000  0.500  0.000
Ba  0.500  0.000  0.000
Cd  0.000  0.000  0.000
Mo  0.500  0.500  0.500

Record 5
The following is a SCAN calculation of a crystal of PWO5 relaxed with PBEsol, from the Alexandria database.

Calculated values
Formation energy (no corrections)   -2.26 eV per atom
DOS at the Fermi energy   2.6 states/eV/cell
Crystal system   triclinic
Excess energy over the best structure of this formula in the dataset   2.7 kJ/mol of atoms

a = 5.272 Å, b = 5.273 Å, c = 7.345 Å
α = 109.63°, β = 109.56°, γ = 92.06°
Atoms (fractional coordinates):
P  0.134  0.366  0.250
P  0.866  0.634  0.750
W  0.500  0.000  0.000
W  0.500  0.000  0.500
O  0.177  0.706  0.855
O  0.206  0.677  0.356
O  0.235  0.235  0.416
O  0.265  0.265  0.085
O  0.441  0.060  0.750
O  0.559  0.940  0.250
O  0.735  0.735  0.915
O  0.765  0.765  0.584
O  0.794  0.323  0.644
O  0.823  0.294  0.145

Record 6
The following is a SCAN calculation of a crystal of Mg2ScW relaxed with PBEsol, from the Alexandria database.

Calculated values
E_form   1.6 eV per formula unit
DOS at the Fermi energy   2.5 states/eV/cell
Crystal system   orthorhombic
Excess energy over the best structure of this formula in the dataset   2.3 kJ/mol of atoms

a = 5.917 Å, b = 5.917 Å, c = 5.917 Å
α = 149.97°, β = 131.73°, γ = 57.90°
Atoms (fractional coordinates):
Mg  0.232  0.232  0.000
Mg  0.768  0.768  0.000
Sc  0.500  0.000  0.500
W  0.000  0.500  0.500

Record 7
The following is a SCAN calculation of a crystal of Ba5P relaxed with PBEsol, from the Alexandria database.

Calculated values
E_form   2.4 eV per formula unit
DOS at the Fermi energy   7.1 states/eV/cell
Crystal system   cubic

a = 7.289 Å, b = 7.289 Å, c = 7.289 Å
α = 60.00°, β = 60.00°, γ = 60.00°
Atoms (fractional coordinates):
Ba  0.000  0.000  0.000
Ba  0.133  0.622  0.622
Ba  0.622  0.133  0.622
Ba  0.622  0.622  0.133
Ba  0.622  0.622  0.622
P  0.250  0.250  0.250

Record 8
The following is a SCAN calculation of a crystal of RbLaMnWO6 relaxed with PBEsol, from the Alexandria database.

Calculated values
Formation energy (no corrections)   -2.69 eV per atom
Crystal system   monoclinic

a = 5.658 Å, b = 5.643 Å, c = 8.122 Å
α = 90.00°, β = 90.39°, γ = 90.00°
Atoms (fractional coordinates):
Rb  0.244  0.000  0.499
Rb  0.756  0.500  0.501
La  0.242  0.027  0.999
La  0.758  0.527  0.001
Mn  0.255  0.510  0.255
Mn  0.745  0.010  0.745
W  0.246  0.505  0.752
W  0.754  0.005  0.248
O  0.004  0.228  0.241
O  0.031  0.243  0.756
O  0.189  0.489  0.998
O  0.276  0.502  0.524
O  0.475  0.752  0.803
O  0.498  0.779  0.197
O  0.502  0.279  0.803
O  0.525  0.252  0.197
O  0.724  0.002  0.476
O  0.811  0.989  0.002
O  0.969  0.743  0.244
O  0.996  0.728  0.759

Record 9
The following is a SCAN calculation of a crystal of TiNbHAu2 relaxed with PBEsol, from the Alexandria database.

Calculated values
VASP energy   -37.8217 eV/atom
DOS at the Fermi energy   3.2 states/eV/cell
Crystal system   tetragonal

a = 5.076 Å, b = 5.076 Å, c = 3.343 Å
α = 90.00°, β = 90.00°, γ = 90.00°
Atoms (fractional coordinates):
Ti  0.000  0.000  0.000
Nb  0.500  0.500  0.500
H  0.500  0.500  0.000
Au  0.000  0.500  0.500
Au  0.500  0.000  0.500

Record 10
The following is a SCAN calculation of a crystal of CaRe4 relaxed with PBEsol, from the Alexandria database.

Calculated values
E_form   15.2 eV per formula unit
DOS at the Fermi energy   6.6 states/eV/cell
Crystal system   cubic

a = 4.909 Å, b = 4.909 Å, c = 4.909 Å
α = 109.47°, β = 109.47°, γ = 109.47°
Atoms (fractional coordinates):
Ca  0.000  0.000  0.000
Re  0.000  0.000  0.500
Re  0.000  0.500  0.000
Re  0.500  0.000  0.000
Re  0.500  0.500  0.500

Record 11
The following is a SCAN calculation of a crystal of CaHg2Cl relaxed with PBEsol, from the Alexandria database.

Calculated values
Formation energy (no corrections)   -0.97 eV per atom
DOS at the Fermi energy   1.3 states/eV/cell
Crystal system   orthorhombic
Excess energy over the best structure of this formula in the dataset   2.9 kJ/mol of atoms

a = 6.697 Å, b = 6.671 Å, c = 4.084 Å
α = 72.57°, β = 71.86°, γ = 35.58°
Atoms (fractional coordinates):
Ca  0.000  0.000  0.000
Hg  0.000  0.500  0.500
Hg  0.500  0.000  0.000
Cl  0.500  0.500  0.500

Record 12
The following is a SCAN calculation of a crystal of Mg2Zn2Sn relaxed with PBEsol, from the Alexandria database.

Calculated values
E_form   -0.5 eV per formula unit
DOS at the Fermi energy   3.2 states/eV/cell
Crystal system   tetragonal

a = 7.365 Å, b = 7.365 Å, c = 3.551 Å
α = 90.00°, β = 90.00°, γ = 90.00°
Atoms (fractional coordinates):
Mg  0.173  0.327  0.000
Mg  0.327  0.827  0.000
Mg  0.673  0.173  0.000
Mg  0.827  0.673  0.000
Zn  0.121  0.621  0.500
Zn  0.379  0.121  0.500
Zn  0.621  0.879  0.500
Zn  0.879  0.379  0.500
Sn  0.000  0.000  0.500
Sn  0.500  0.500  0.500